Entry 1:
DFT (PBE) results for an optimized crystal structure of Ca3YBe.

Properties
DFT formation energy = 1.393 eV per atom
total magnetic moment = 3.05 μB/f.u.
polymorph energy (0 for the lowest one) = 990 meV/atom
E_tot = -1.85 eV per atom
DOS(E_F) = 1.1694 states/eV/atom

Cell lengths 6.120, 6.120, 6.120 Å; angles 90.00, 90.00, 90.00 degrees
Last column: magnetic moment on the atom in μB.
Element x y z (fractional)
Y 0.000 0.000 0.000  0.93
Be 0.500 0.500 0.500  -0.03
Ca 0.000 0.500 0.000  0.18
Ca 0.000 0.000 0.500  0.23
Ca 0.500 0.000 0.000  0.11

---

Entry 2:
DFT (PBE) results for an optimized crystal structure of CaYBe.

Properties
DFT formation energy = 0.378 eV per atom
total magnetic moment = 0.00 μB/f.u.
polymorph energy (0 for the lowest one) = 201 meV/atom
E_tot = -3.69 eV per atom
DOS(E_F) = 1.3115 states/eV/atom

Cell lengths 4.894, 4.894, 4.894 Å; angles 60.00, 60.00, 60.00 degrees
Element x y z (fractional)
Y 0.500 0.500 0.500
Be 0.750 0.750 0.750
Ca 0.000 0.000 0.000

---

Entry 3:
DFT (PBE) results for an optimized crystal structure of Ca2YBe.

Properties
DFT formation energy = 0.378 eV per atom
total magnetic moment = 0.00 μB/f.u.
E_tot = -3.17 eV per atom
DOS(E_F) = 0.7940 states/eV/atom

Cell lengths 4.260, 5.006, 5.305 Å; angles 90.00, 90.00, 90.00 degrees
Element x y z (fractional)
Y 0.500 0.000 0.500
Be 0.000 0.500 0.500
Ca 0.000 0.000 0.000
Ca 0.500 0.500 0.000

---

Entry 4:
DFT (PBE) results for an optimized crystal structure of CaYBe.

Properties
DFT formation energy = 0.378 eV per atom
total magnetic moment = 0.00 μB/f.u.
polymorph energy (0 for the lowest one) = 201 meV/atom
E_tot = -3.69 eV per atom
DOS(E_F) = 1.3756 states/eV/atom

Cell lengths 3.712, 3.712, 7.173 Å; angles 90.00, 90.00, 120.00 degrees
Element x y z (fractional)
Y 0.333 0.667 0.738
Be 0.000 0.000 0.990
Ca 0.667 0.333 0.272

---

Entry 5:
DFT (PBE) results for an optimized crystal structure of CaY3Be.

Properties
DFT formation energy = 1.412 eV per atom
total magnetic moment = 0.00 μB/f.u.
polymorph energy (0 for the lowest one) = 1190 meV/atom
E_tot = -3.61 eV per atom
DOS(E_F) = 0.8595 states/eV/atom

Cell lengths 5.497, 5.497, 5.497 Å; angles 90.00, 90.00, 90.00 degrees
Element x y z (fractional)
Y 0.000 0.500 0.000
Y 0.000 0.000 0.500
Y 0.500 0.000 0.000
Be 0.500 0.500 0.500
Ca 0.000 0.000 0.000

---

Entry 6:
DFT (PBE) results for an optimized crystal structure of CaY3Be.

Properties
DFT formation energy = 0.222 eV per atom
total magnetic moment = 1.01 μB/f.u.
polymorph energy (0 for the lowest one) = 0 meV/atom
E_tot = -4.80 eV per atom
DOS(E_F) = 0.7713 states/eV/atom

Cell lengths 5.407, 5.407, 5.407 Å; angles 90.00, 90.00, 90.00 degrees
Last column: magnetic moment on the atom in μB.
Element x y z (fractional)
Y 0.000 0.500 0.000  0.08
Y 0.000 0.000 0.500  0.06
Y 0.500 0.000 0.000  0.14
Be 0.000 0.000 0.000  0.03
Ca 0.500 0.500 0.500  0.04

---

Entry 7:
DFT (PBE) results for an optimized crystal structure of Ca2YBe.

Properties
DFT formation energy = 0.294 eV per atom
total magnetic moment = 0.28 μB/f.u.
E_tot = -3.25 eV per atom
DOS(E_F) = 1.3945 states/eV/atom

Cell lengths 3.524, 3.529, 10.011 Å; angles 69.38, 90.00, 90.00 degrees
Last column: magnetic moment on the atom in μB.
Element x y z (fractional)
Y 0.500 0.250 0.250  0.12
Be 0.500 0.750 0.750  0.00
Ca 0.000 0.064 0.936  0.01
Ca 0.000 0.436 0.564  0.01

---

Entry 8:
DFT (PBE) results for an optimized crystal structure of Ca2YBe.

Properties
DFT formation energy = 0.407 eV per atom
total magnetic moment = 0.03 μB/f.u.
E_tot = -3.14 eV per atom
DOS(E_F) = 1.3794 states/eV/atom

Cell lengths 10.596, 10.596, 10.596 Å; angles 20.24, 20.24, 20.24 degrees
Element x y z (fractional)
Y 0.250 0.250 0.250
Be 0.750 0.750 0.750
Ca 0.019 0.019 0.019
Ca 0.481 0.481 0.481